! Ca2CdNi PBE optimized geometry; values from VASP
&SYSTEM
  ibrav = 0, nat = 4, ntyp = 3
/
ATOMIC_SPECIES
Ni 58.69 Ni.upf
Ca 40.08 Ca.upf
Cd 112.41 Cd.upf
ATOMIC_POSITIONS angstrom
Ni 1.7830 1.7830 5.6920
Ca 0.0000 0.0000 7.5124
Ca 1.7830 1.7830 2.5122
Cd 0.0000 0.0000 4.5329
CELL_PARAMETERS angstrom
3.5659 0.0000 0.0000
0.0000 3.5659 0.0000
0.0000 0.0000 8.0998
! Size of the total moment   0.0 μB per formula unit
! ΔH_f (0 K)   -0.19 eV per formula unit
! Space-group type   No. 99


! CaCd2Ni2 PBE optimized geometry; values from VASP
&SYSTEM
  ibrav = 0, nat = 5, ntyp = 3
/
ATOMIC_SPECIES
Ni 58.69 Ni.upf
Ca 40.08 Ca.upf
Cd 112.41 Cd.upf
ATOMIC_POSITIONS angstrom
Ni 4.1726 2.0863 2.9072
Ni 2.0863 4.1726 2.9072
Ca 0.0000 0.0000 0.0000
Cd 2.0863 2.0863 1.4069
Cd 4.1726 4.1726 4.4075
CELL_PARAMETERS angstrom
4.1726 0.0000 0.0000
0.0000 4.1726 0.0000
2.0863 2.0863 5.8143
! Size of the total moment   0.0 μB per formula unit
! ΔH_f (0 K)   0.18 eV per formula unit
! Space-group type   No. 139
! Energy above the most stable polymorph in this dataset   119 meV per atom


! Ca2CdNi PBE optimized geometry; values from VASP
&SYSTEM
  ibrav = 0, nat = 4, ntyp = 3
/
ATOMIC_SPECIES
Ni 58.69 Ni.upf
Ca 40.08 Ca.upf
Cd 112.41 Cd.upf
ATOMIC_POSITIONS angstrom
Ni 18.0642 4.1073 2.4531
Ca 0.4214 0.0958 0.0572
Ca 11.6214 2.6424 1.5782
Cd 6.0214 1.3691 0.8177
CELL_PARAMETERS angstrom
8.6096 -0.0581 -0.0347
7.7380 3.7751 -0.0347
7.7380 1.7594 3.3402
! Size of the total moment   0.0 μB per formula unit
! ΔH_f (0 K)   0.00 eV per formula unit
! Space-group type   No. 166


Values for total DFT energy (no corrections), eV/atom, ordered as above
-2.7217; -3.0424; -2.6749
Values for Fermi-level density of states, states/eV per cell, ordered as above
3.08; 3.56; 3.62